1.
## La6TbPm2 (PBE-GGA)

Data for a relaxed structure of La6TbPm2.

Computed properties:
**Total magnetization**: 0.00 Bohr magnetons per cell
**Formation energy**: 0.057 eV per atom
**Space group**: P-6m2
**ΔE to the lowest computed polymorph**: 0.00 eV per formula unit

Cell lengths 3.682, 3.682, 27.702 Å; angles 90.00, 90.00, 120.00 degrees
Element x y z (fractional)
La 0.000 0.000 0.063
La 0.000 0.000 0.280
La 0.000 0.000 0.720
La 0.000 0.000 0.937
La 0.333 0.667 0.394
La 0.333 0.667 0.606
Tb 0.000 0.000 0.500
Pm 0.333 0.667 0.170
Pm 0.333 0.667 0.830

---

2.
## AgHg2As (PBE-GGA)

Data for a relaxed structure of AgHg2As.

Computed properties:
**Total magnetization**: 0.00 Bohr magnetons per cell
**Formation energy**: 0.180 eV per atom
**Space group**: Pmm2

Cell lengths 3.170, 4.352, 6.908 Å; angles 90.00, 90.00, 90.00 degrees
Element x y z (fractional)
Ag 0.000 0.000 0.000
Hg 0.000 0.000 0.435
Hg 0.500 0.500 0.667
As 0.500 0.500 0.067

---

formation energy of number 1 (La6TbPm2)? 0.057 eV per atom